Computed, not measured: a relaxed structure of LiFeSi2O6 at the PBE with a Hubbard U level of DFT.

abc: 7.060 7.451 7.360
angles: 80.05 62.61 77.74
Site moments in Bohr magnetons follow the coordinates.
Fractional coordinates of all 30 atoms:
Li (0.622, 0.757, 0.764)  0.00
Li (0.500, 0.500, 0.500)  0.00
Li (0.378, 0.243, 0.236)  0.00
Fe (0.052, 0.791, 0.740)  4.36
Fe (0.000, 0.500, 0.500)  3.08
Fe (0.948, 0.209, 0.260)  4.36
Si (0.758, 0.824, 0.291)  0.01
Si (0.318, 0.841, 0.250)  0.01
Si (0.801, 0.385, 0.972)  0.01
Si (0.199, 0.615, 0.028)  0.01
Si (0.682, 0.159, 0.750)  0.01
Si (0.242, 0.176, 0.709)  0.01
O (0.776, 0.944, 0.780)  0.09
O (0.231, 0.974, 0.671)  0.12
O (0.548, 0.822, 0.255)  0.00
O (0.969, 0.762, 0.071)  0.04
O (0.753, 0.666, 0.479)  -0.05
O (0.858, 0.560, 0.797)  0.00
O (0.158, 0.725, 0.455)  0.12
O (0.281, 0.588, 0.789)  0.07
O (0.366, 0.726, 0.052)  0.01
O (0.634, 0.274, 0.948)  0.01
O (0.719, 0.412, 0.211)  0.07
O (0.842, 0.275, 0.545)  0.12
O (0.142, 0.440, 0.203)  0.00
O (0.247, 0.334, 0.521)  -0.05
O (0.031, 0.238, 0.929)  0.04
O (0.452, 0.178, 0.745)  0.00
O (0.769, 0.026, 0.329)  0.12
O (0.224, 0.056, 0.220)  0.09

Distance to the lowest polymorph of the same formula = 0.064 eV/atom
Symmetry = No. 2
Total magnetic moment = 12.92 μB per cell